# NaNi2H3S2O10 (GGA+U, optimized geometry)
# Total energy, Ry/atom: -0.3662
# Energy relative to the lowest polymorph listed for this composition, eV/atom: 0.5193
data_NaNi2H3S2O10
_chemical_formula_sum 'Na2 Ni4 H6 S4 O20'
_cell_length_a 11.319
_cell_length_b 6.051
_cell_length_c 7.262
_cell_angle_alpha 90.00
_cell_angle_beta 118.31
_cell_angle_gamma 90.00
_space_group_name_H-M_alt 'C 1 m 1'
_space_group_IT_number 8
_space_group_name_Hall 'C -2y'
loop_
_atom_site_label
_atom_site_fract_x
_atom_site_fract_y
_atom_site_fract_z
Na1 0.000 0.000 0.000
Ni1 0.266 0.255 0.516
H1 0.038 0.000 0.515
H2 0.092 0.500 0.502
H3 0.436 0.000 0.523
S1 0.175 0.500 0.941
S2 0.352 0.000 0.110
O1 0.096 0.298 0.909
O2 0.117 0.000 0.481
O3 0.184 0.500 0.614
O4 0.247 0.000 0.685
O5 0.274 0.500 0.335
O6 0.342 0.000 0.415
O7 0.404 0.500 0.540
O8 0.432 0.202 0.141